Compound: CdGaCoMo
Source: the Open Quantum Materials Database
Functional: PBE
Structure: optimized geometry

a b c (Å): 4.434 4.434 4.434
angles (deg): 60.00 60.00 60.00
Last column: magnetic moment on the atom in μB.
Element x y z (fractional)
Cd: 0.250 0.250 0.250  0.03
Co: 0.750 0.750 0.750  1.06
Ga: 0.000 0.000 0.000  -0.04
Mo: 0.500 0.500 0.500  0.91

Computed properties:
Size of the total moment ... 0.500 μB per atom
Calculated total energy ... -5.0038 eV per atom
Volume ... 15.41 Å³ per atom
Crystal system ... cubic